DFT (GGA-PBE) results for crystalline Tl2CrHg at its relaxed geometry.

Structure (POSCAR):
```
Tl2CrHg
1.0
4.876 0.000 0.000
0.000 4.876 0.000
0.000 0.000 4.163
Tl Cr Hg
2 1 1
Direct
0.000 0.500 0.000
0.500 0.000 0.000
0.000 0.000 0.500
0.500 0.500 0.500
```

## Properties
* symmetry: No. 123
* theoretical density: 11.10 g/cm³
* ΔE to the lowest computed polymorph: 85 meV/atom
* ΔE_f: 0.42 eV/atom